1.
{"formula": "TmPa2AlN5", "functional": "GGA-PBE", "state": "optimized geometry", "lattice": [[3.394, 0.000, 0.000], [-1.697, 6.803, 0.000], [0.000, 0.000, 10.422]], "species": ["N", "N", "Pa", "Pa", "N", "N", "Al", "N", "N", "N", "Tm", "N", "N", "Al", "Pa", "N", "Tm", "Pa"], "fractional_positions": [[0.045, 0.089, 0.055], [0.703, 0.406, 0.833], [0.869, 0.737, 0.194], [0.131, 0.263, 0.694], [0.297, 0.594, 0.333], [0.486, 0.971, 0.801], [0.498, 0.995, 0.488], [0.514, 0.029, 0.301], [0.368, 0.737, 0.043], [0.293, 0.587, 0.650], [0.209, 0.417, 0.990], [0.955, 0.911, 0.555], [0.707, 0.413, 0.150], [0.502, 0.005, 0.988], [0.871, 0.743, 0.771], [0.632, 0.263, 0.543], [0.791, 0.583, 0.490], [0.129, 0.257, 0.271]], "magmom_total_mub_per_atom": 0.000, "formation_energy_uncorrected_ev_per_atom": -1.458, "sg": "Cmc2_1"}

2.
{"formula": "LiAcTb2", "functional": "GGA-PBE", "state": "optimized geometry", "lattice": [[3.649, -0.002, 0.000], [1.823, 3.161, 0.000], [1.822, 1.052, 11.494]], "species": ["Li", "Tb", "Tb", "Ac"], "fractional_positions": [[0.667, 0.667, 0.000], [0.076, 0.076, 0.770], [0.257, 0.257, 0.229], [0.500, 0.500, 0.500]], "magmom_total_mub_per_atom": 0.000, "polymorph_energy_ev_per_atom": 0.082, "e_form_ev_per_atom": 0.182, "sg": "R3m"}

3.
{"formula": "CeTmB", "functional": "GGA-PBE", "state": "optimized geometry", "lattice": [[3.373, 0.814, -1.346], [2.712, 4.651, -0.668], [-2.127, 1.001, 10.728]], "species": ["Tm", "Ce", "Tm", "B", "Ce", "B"], "fractional_positions": [[0.282, 0.153, 0.623], [0.170, 0.538, 0.139], [0.718, 0.847, 0.377], [0.031, 0.077, 0.072], [0.830, 0.462, 0.861], [0.969, 0.923, 0.928]], "magmom_total_mub_per_atom": 0.000, "e_form_ev_per_atom": -0.060, "sg": "C2/m"}